# CdCuOF2 (PBE, relaxed)
# V ... 15.7 Å³ per atom
# Energy above the most stable polymorph in this dataset ... 487 meV/atom
# Formation energy (no corrections) ... -3.20 eV/f.u.
# M_tot ... 0.66 μB per formula unit
data_CdCuOF2
_space_group_name_H-M_alt 'P 4/m m m'
_space_group_IT_number 123
_space_group_name_Hall '-P 4 2'
_cell_length_a 4.299
_cell_length_b 4.299
_cell_length_c 4.236
_cell_angle_alpha 90.00
_cell_angle_beta 90.00
_cell_angle_gamma 90.00
loop_
_atom_site_label
_atom_site_type_symbol
_atom_site_fract_x
_atom_site_fract_y
_atom_site_fract_z
Cd1 Cd 0.000 0.000 0.000
Cu1 Cu 0.500 0.500 0.500
O1 O 0.000 0.000 0.500
F1 F 0.000 0.500 0.000